1.
Computed, not measured: GdBePO after structural relaxation at the PBE level of DFT.

Structure (POSCAR):
```
GdBePO
1.0
-0.1407 -2.7174 3.1123
5.7439 -1.0980 -0.6991
1.1953 3.9966 3.5435
P Gd O Be
2 2 2 2
Direct
0.0000 0.7308 0.9332
0.0000 0.2692 0.4332
0.0000 0.7478 0.4250
0.0000 0.2522 0.9250
0.5000 0.1074 0.8539
0.5000 0.8926 0.3539
0.5000 0.8840 0.0420
0.5000 0.1160 0.5420
```

- Calculated volume: 16.7 Å³/atom
- Space-group type: Pmc2_1 (26)
- VASP energy: -6.54 eV/atom
- Total magnetic moment: 0.000 μB per atom

2.
Computed, not measured: Ta2Tc2O5 after structural relaxation at the PBE level of DFT.

Structure (POSCAR):
```
Ta2Tc2O5
1.0
-0.8258 0.2445 7.0863
2.5113 -3.0624 0.3983
3.0537 2.5391 0.2682
O Ta Tc
5 2 2
Direct
0.2374 0.0000 0.5000
0.2374 0.5000 0.0000
0.5000 0.5000 0.5000
0.7626 0.0000 0.5000
0.7626 0.5000 0.0000
0.2143 0.5000 0.5000
0.7857 0.5000 0.5000
0.5000 0.0000 0.0000
0.0000 0.0000 0.0000
```

- Calculated volume: 12.6 Å³/atom
- Space-group type: P4/mmm (123)
- VASP energy: -8.71 eV/atom
- Total magnetic moment: 0.847 μB per atom

Number 1 is which compound?
GdBePO